# Sc2Al2Ag (meta-GGA SCAN, single point on PBEsol structure)
# * energy of formation: -0.447 eV/atom
data_Sc2Al2Ag
_cell_length_a 4.280
_cell_length_b 6.683
_cell_length_c 6.683
_cell_angle_alpha 90.00
_cell_angle_beta 90.00
_cell_angle_gamma 90.00
_space_group_name_H-M_alt 'P 1'
_space_group_IT_number 1
loop_
_space_group_symop_operation_xyz
'x,y,z'
loop_
_atom_site_label
_atom_site_type_symbol
_atom_site_fract_x
_atom_site_fract_y
_atom_site_fract_z
Sc1 Sc 0.500 0.665 0.835
Al1 Al 0.000 0.637 0.137
Sc2 Sc 0.500 0.165 0.665
Ag1 Ag 0.000 0.000 0.000
Al2 Al 0.000 0.137 0.363
Sc3 Sc 0.500 0.835 0.335
Al3 Al 0.000 0.363 0.863
Sc4 Sc 0.500 0.335 0.165
Al4 Al 0.000 0.863 0.637
Ag2 Ag 0.000 0.500 0.500